# 1
A relaxed Tb9SmHo2 crystal. Source: Alexandria via LeMat-Bulk, functional GGA-PBE.

## Properties
Total DFT energy (no corrections)   -0.1686 hartree per atom
Space-group type   P6/mmm, No. 191
ΔH_f (0 K)   41 meV per atom
Magnetic moment   0.00 Bohr magnetons per cell
Relative energy among the computed polymorphs   0.49 kcal/mol of atoms

Lattice parameters (Å, degrees): 3.505 11.255 11.255 120.00 90.00 90.00
Fractional coordinates of all 12 atoms:
Tb1 0.000 0.000 0.500
Tb2 0.000 0.500 0.500
Tb3 0.000 0.500 0.000
Tb4 0.500 0.354 0.177
Tb5 0.500 0.177 0.823
Tb6 0.500 0.177 0.354
Tb7 0.500 0.823 0.646
Tb8 0.500 0.823 0.177
Tb9 0.500 0.646 0.823
Sm1 0.000 0.000 0.000
Ho1 0.000 0.333 0.667
Ho2 0.000 0.667 0.333

***

# 2
A relaxed Tb6Sm8Ho crystal. Source: Alexandria via LeMat-Bulk, functional GGA-PBE.

## Properties
Total DFT energy (no corrections)   -0.1673 hartree per atom
Space-group type   R-3, No. 148
ΔH_f (0 K)   122 meV per atom
Magnetic moment   0.00 Bohr magnetons per cell
Relative energy among the computed polymorphs   0.00 kcal/mol of atoms

Lattice parameters (Å, degrees): 9.121 9.121 8.704 58.40 58.40 60.00
Fractional coordinates of all 15 atoms:
Tb1 0.461 0.900 0.880
Tb2 0.100 0.241 0.120
Tb3 0.241 0.539 0.120
Tb4 0.759 0.461 0.880
Tb5 0.900 0.759 0.880
Tb6 0.539 0.100 0.120
Sm1 0.252 0.281 0.579
Sm2 0.719 0.112 0.421
Sm3 0.112 0.748 0.421
Sm4 0.577 0.577 0.268
Sm5 0.423 0.423 0.732
Sm6 0.888 0.252 0.579
Sm7 0.281 0.888 0.579
Sm8 0.748 0.719 0.421
Ho1 0.000 0.000 0.000

***

# 3
A relaxed Tb8SmHo2 crystal. Source: Alexandria via LeMat-Bulk, functional GGA-PBE.

## Properties
Total DFT energy (no corrections)   -0.1659 hartree per atom
Space-group type   Immm, No. 71
ΔH_f (0 K)   114 meV per atom
Magnetic moment   0.00 Bohr magnetons per cell
Relative energy among the computed polymorphs   0.00 kcal/mol of atoms

Lattice parameters (Å, degrees): 5.534 8.137 9.338 115.83 107.24 90.00
Fractional coordinates of all 11 atoms:
Tb1 0.638 0.844 0.277
Tb2 0.362 0.568 0.723
Tb3 0.163 0.163 0.326
Tb4 0.000 0.295 0.000
Tb5 0.837 0.837 0.674
Tb6 0.638 0.432 0.277
Tb7 0.362 0.156 0.723
Tb8 0.000 0.705 0.000
Sm1 0.500 0.000 0.000
Ho1 0.200 0.700 0.400
Ho2 0.800 0.300 0.600

***

# 4
A relaxed Tb3Sm6Ho2 crystal. Source: Alexandria via LeMat-Bulk, functional GGA-PBE.

## Properties
Total DFT energy (no corrections)   -0.1711 hartree per atom
Space-group type   R-3m, No. 166
ΔH_f (0 K)   14 meV per atom
Magnetic moment   0.00 Bohr magnetons per cell
Relative energy among the computed polymorphs   0.00 kcal/mol of atoms

Lattice parameters (Å, degrees): 3.590 3.590 32.229 86.81 86.81 60.00
Fractional coordinates of all 11 atoms:
Tb1 0.000 0.000 0.000
Tb2 0.727 0.727 0.818
Tb3 0.273 0.273 0.182
Sm1 0.909 0.909 0.273
Sm2 0.091 0.091 0.727
Sm3 0.818 0.818 0.546
Sm4 0.182 0.182 0.454
Sm5 0.636 0.636 0.091
Sm6 0.364 0.364 0.909
Ho1 0.546 0.546 0.363
Ho2 0.454 0.454 0.637

***

# 5
A relaxed Tb12SmHo6 crystal. Source: Alexandria via LeMat-Bulk, functional GGA-PBE.

## Properties
Total DFT energy (no corrections)   -0.1535 hartree per atom
Space-group type   R-3m, No. 166
ΔH_f (0 K)   440 meV per atom
Magnetic moment   0.00 Bohr magnetons per cell
Relative energy among the computed polymorphs   6.64 kcal/mol of atoms

Lattice parameters (Å, degrees): 9.328 9.328 9.328 108.13 108.13 108.13
Fractional coordinates of all 19 atoms:
Tb1 0.890 0.110 0.500
Tb2 0.370 0.155 0.370
Tb3 0.370 0.370 0.155
Tb4 0.845 0.630 0.630
Tb5 0.630 0.630 0.845
Tb6 0.630 0.845 0.630
Tb7 0.500 0.890 0.110
Tb8 0.110 0.500 0.890
Tb9 0.110 0.890 0.500
Tb10 0.500 0.110 0.890
Tb11 0.890 0.500 0.110
Tb12 0.155 0.370 0.370
Sm1 0.000 0.000 0.000
Ho1 0.683 0.256 0.683
Ho2 0.683 0.683 0.256
Ho3 0.256 0.683 0.683
Ho4 0.317 0.317 0.744
Ho5 0.317 0.744 0.317
Ho6 0.744 0.317 0.317

***

# 6
A relaxed Tb8Sm3Ho4 crystal. Source: Alexandria via LeMat-Bulk, functional GGA-PBE.

## Properties
Total DFT energy (no corrections)   -0.1559 hartree per atom
Space-group type   C2/m, No. 12
ΔH_f (0 K)   392 meV per atom
Magnetic moment   0.00 Bohr magnetons per cell

Lattice parameters (Å, degrees): 6.754 9.252 9.252 87.10 111.36 111.36
Fractional coordinates of all 15 atoms:
Tb1 0.553 0.272 0.272
Tb2 0.000 0.643 0.357
Tb3 0.017 0.258 0.258
Tb4 0.500 0.748 0.252
Tb5 0.500 0.252 0.748
Tb6 0.983 0.742 0.742
Tb7 0.000 0.357 0.643
Tb8 0.447 0.728 0.728
Sm1 0.500 0.500 0.000
Sm2 0.500 0.000 0.500
Sm3 0.500 0.500 0.500
Ho1 0.500 0.000 0.000
Ho2 0.000 0.500 0.000
Ho3 0.000 0.000 0.000
Ho4 0.000 0.000 0.500

***

# 7
A relaxed Tb2Sm5Ho2 crystal. Source: Alexandria via LeMat-Bulk, functional GGA-PBE.

## Properties
Total DFT energy (no corrections)   -0.1664 hartree per atom
Space-group type   C2/m, No. 12
ΔH_f (0 K)   140 meV per atom
Magnetic moment   0.00 Bohr magnetons per cell
Relative energy among the computed polymorphs   0.00 kcal/mol of atoms

Lattice parameters (Å, degrees): 3.503 12.048 8.681 56.32 90.00 98.36
Fractional coordinates of all 9 atoms:
Tb1 0.398 0.797 0.868
Tb2 0.602 0.203 0.132
Sm1 0.220 0.440 0.207
Sm2 0.780 0.560 0.793
Sm3 0.056 0.112 0.558
Sm4 0.944 0.888 0.442
Sm5 0.000 0.000 0.000
Ho1 0.177 0.354 0.680
Ho2 0.823 0.646 0.320

***

# 8
A relaxed TbSm5Ho2 crystal. Source: Alexandria via LeMat-Bulk, functional GGA-PBE.

## Properties
Total DFT energy (no corrections)   -0.1711 hartree per atom
Space-group type   Pbam, No. 55
ΔH_f (0 K)   16 meV per atom
Magnetic moment   0.00 Bohr magnetons per cell
Relative energy among the computed polymorphs   0.00 kcal/mol of atoms

Lattice parameters (Å, degrees): 5.076 7.191 14.381 90.00 90.00 90.00
Fractional coordinates of all 16 atoms:
Tb1 0.000 0.000 0.500
Tb2 0.000 0.500 0.000
Sm1 0.000 0.000 0.000
Sm2 0.000 0.500 0.500
Sm3 0.000 0.500 0.751
Sm4 0.000 0.500 0.249
Sm5 0.000 0.000 0.251
Sm6 0.000 0.000 0.749
Sm7 0.500 0.250 0.875
Sm8 0.500 0.750 0.125
Sm9 0.500 0.250 0.375
Sm10 0.500 0.750 0.625
Ho1 0.500 0.250 0.625
Ho2 0.500 0.750 0.375
Ho3 0.500 0.250 0.125
Ho4 0.500 0.750 0.875

***

# 9
A relaxed TbSm12Ho7 crystal. Source: Alexandria via LeMat-Bulk, functional GGA-PBE.

## Properties
Total DFT energy (no corrections)   -0.1620 hartree per atom
Space-group type   R-3m, No. 166
ΔH_f (0 K)   256 meV per atom
Magnetic moment   0.00 Bohr magnetons per cell
Relative energy among the computed polymorphs   0.00 kcal/mol of atoms

Lattice parameters (Å, degrees): 6.155 11.482 11.482 116.88 100.29 100.29
Fractional coordinates of all 20 atoms:
Tb1 0.000 0.000 0.000
Sm1 0.087 0.586 0.173
Sm2 0.086 0.173 0.587
Sm3 0.587 0.646 0.000
Sm4 0.414 0.000 0.354
Sm5 0.500 0.413 0.586
Sm6 0.060 0.646 0.646
Sm7 0.940 0.354 0.354
Sm8 0.500 0.587 0.414
Sm9 0.586 0.000 0.646
Sm10 0.413 0.354 0.000
Sm11 0.914 0.827 0.413
Sm12 0.913 0.414 0.827
Ho1 0.127 0.755 0.000
Ho2 0.874 0.000 0.245
Ho3 0.629 0.755 0.755
Ho4 0.500 0.000 0.000
Ho5 0.371 0.245 0.245
Ho6 0.126 0.000 0.755
Ho7 0.873 0.245 0.000

***

# 10
A relaxed TbSm4Ho6 crystal. Source: Alexandria via LeMat-Bulk, functional GGA-PBE.

## Properties
Total DFT energy (no corrections)   -0.1538 hartree per atom
Space-group type   I-42m, No. 121
ΔH_f (0 K)   450 meV per atom
Magnetic moment   0.00 Bohr magnetons per cell
Relative energy among the computed polymorphs   3.37 kcal/mol of atoms

Lattice parameters (Å, degrees): 7.649 7.649 8.485 116.79 116.79 90.00
Fractional coordinates of all 11 atoms:
Tb1 0.500 0.500 0.000
Sm1 0.097 0.751 0.848
Sm2 0.903 0.903 0.152
Sm3 0.751 0.097 0.848
Sm4 0.249 0.249 0.152
Ho1 0.926 0.442 0.368
Ho2 0.442 0.926 0.368
Ho3 0.558 0.558 0.632
Ho4 0.000 0.500 0.000
Ho5 0.074 0.074 0.632
Ho6 0.500 0.000 0.000

***

# 11
A relaxed Tb4SmHo2 crystal. Source: Alexandria via LeMat-Bulk, functional GGA-PBE.

## Properties
Total DFT energy (no corrections)   -0.1688 hartree per atom
Space-group type   C2/m, No. 12
ΔH_f (0 K)   35 meV per atom
Magnetic moment   0.00 Bohr magnetons per cell
Relative energy among the computed polymorphs   0.00 kcal/mol of atoms

Lattice parameters (Å, degrees): 3.528 9.431 8.540 121.46 78.09 111.96
Fractional coordinates of all 7 atoms:
Tb1 0.410 0.706 0.591
Tb2 0.808 0.167 0.719
Tb3 0.590 0.294 0.409
Tb4 0.192 0.833 0.281
Sm1 0.000 0.000 0.000
Ho1 0.360 0.430 0.141
Ho2 0.640 0.570 0.859

***

# 12
A relaxed Tb2Sm3Ho7 crystal. Source: Alexandria via LeMat-Bulk, functional GGA-PBE.

## Properties
Total DFT energy (no corrections)   -0.1668 hartree per atom
Space-group type   P2/m, No. 10
ΔH_f (0 K)   84 meV per atom
Magnetic moment   0.00 Bohr magnetons per cell
Relative energy among the computed polymorphs   0.00 kcal/mol of atoms

Lattice parameters (Å, degrees): 3.516 6.322 17.905 75.65 90.00 90.00
Fractional coordinates of all 12 atoms:
Tb1 0.500 0.617 0.326
Tb2 0.500 0.383 0.674
Sm1 0.500 0.500 0.000
Sm2 0.000 0.111 0.341
Sm3 0.000 0.889 0.659
Ho1 0.500 0.245 0.501
Ho2 0.500 0.755 0.499
Ho3 0.000 0.563 0.165
Ho4 0.000 0.000 0.000
Ho5 0.000 0.437 0.835
Ho6 0.500 0.941 0.834
Ho7 0.500 0.059 0.166

***

- Look up the ΔH_f (0 K) of the fifth one.
  440 meV per atom

***

- Number 10 is which compound?
  TbSm4Ho6

***

- Among the records above, which one has the highest ΔH_f (0 K)?
  TbSm4Ho6